! La5ErMg (GGA-PBE, optimized geometry); values from VASP
! Space group = Cmcm
! Crystal system = orthorhombic
! Energy relative to the elements = 61.0 meV/atom
! E = -60.73 eV/cell
! ρ = 6.1 g/cm³
&SYSTEM
  ibrav = 0, nat = 14, ntyp = 3
/
ATOMIC_SPECIES
La 138.91 La.upf
Er 167.26 Er.upf
Mg 24.30 Mg.upf
CELL_PARAMETERS angstrom
5.250 -7.750 0.000
5.250 7.750 0.000
0.000 0.000 5.940
ATOMIC_POSITIONS crystal
La 0.002 0.627 0.250
La 0.202 0.798 0.750
La 0.220 0.383 0.250
La 0.373 0.998 0.250
La 0.383 0.220 0.750
La 0.617 0.780 0.250
La 0.627 0.002 0.750
La 0.780 0.617 0.750
La 0.798 0.202 0.250
La 0.998 0.373 0.750
Er 0.416 0.584 0.750
Er 0.584 0.416 0.250
Mg 0.000 0.000 0.000
Mg 0.000 0.000 0.500

=====

! MoPOsS2 (GGA-PBE, optimized geometry); values from VASP
! Energy relative to the lowest polymorph listed for this composition = 0.0000 eV per atom
! Space group = P4/mmm
! Crystal system = tetragonal
! E = -30.35 eV/cell
! ρ = 6.3 g/cm³
&SYSTEM
  ibrav = 0, nat = 5, ntyp = 4
/
ATOMIC_SPECIES
Mo 95.94 Mo.upf
P 30.97 P.upf
Os 190.23 Os.upf
S 32.06 S.upf
CELL_PARAMETERS angstrom
4.769 0.000 0.000
0.000 4.769 0.000
0.000 0.000 4.392
ATOMIC_POSITIONS crystal
Mo 0.000 0.000 0.000
P 0.500 0.500 0.000
Os 0.500 0.500 0.500
S 0.000 0.500 0.500
S 0.500 0.000 0.500

=====

! Rb5Gd3Cl12 (GGA-PBE, optimized geometry); values from VASP
! Space group = Ia-3d
! Crystal system = cubic
! E = -433.31 eV/cell
! ρ = 2.7 g/cm³
&SYSTEM
  ibrav = 0, nat = 80, ntyp = 3
/
ATOMIC_SPECIES
Rb 85.47 Rb.upf
Gd 157.25 Gd.upf
Cl 35.45 Cl.upf
CELL_PARAMETERS angstrom
-9.362 9.362 9.362
9.362 -9.362 9.362
9.362 9.362 -9.362
ATOMIC_POSITIONS crystal
Rb 0.000 0.000 0.000
Rb 0.000 0.000 0.500
Rb 0.000 0.500 0.000
Rb 0.000 0.500 0.500
Rb 0.125 0.750 0.875
Rb 0.125 0.875 0.250
Rb 0.250 0.125 0.875
Rb 0.250 0.625 0.375
Rb 0.375 0.250 0.625
Rb 0.375 0.625 0.750
Rb 0.500 0.000 0.000
Rb 0.500 0.000 0.500
Rb 0.500 0.500 0.000
Rb 0.500 0.500 0.500
Rb 0.625 0.375 0.250
Rb 0.625 0.750 0.375
Rb 0.750 0.375 0.625
Rb 0.750 0.875 0.125
Rb 0.875 0.125 0.750
Rb 0.875 0.250 0.125
Gd 0.125 0.250 0.375
Gd 0.125 0.375 0.750
Gd 0.250 0.375 0.125
Gd 0.250 0.875 0.625
Gd 0.375 0.125 0.250
Gd 0.375 0.750 0.125
Gd 0.625 0.250 0.875
Gd 0.625 0.875 0.750
Gd 0.750 0.125 0.375
Gd 0.750 0.625 0.875
Gd 0.875 0.625 0.250
Gd 0.875 0.750 0.625
Cl 0.024 0.637 0.214
Cl 0.024 0.887 0.810
Cl 0.077 0.190 0.714
Cl 0.077 0.387 0.363
Cl 0.113 0.190 0.976
Cl 0.113 0.423 0.137
Cl 0.137 0.113 0.423
Cl 0.137 0.524 0.714
Cl 0.190 0.714 0.077
Cl 0.190 0.976 0.113
Cl 0.214 0.024 0.637
Cl 0.214 0.690 0.577
Cl 0.286 0.863 0.476
Cl 0.286 0.923 0.810
Cl 0.310 0.387 0.524
Cl 0.310 0.423 0.786
Cl 0.363 0.077 0.387
Cl 0.363 0.786 0.976
Cl 0.387 0.363 0.077
Cl 0.387 0.524 0.310
Cl 0.423 0.137 0.113
Cl 0.423 0.786 0.310
Cl 0.476 0.286 0.863
Cl 0.476 0.690 0.613
Cl 0.524 0.310 0.387
Cl 0.524 0.714 0.137
Cl 0.577 0.214 0.690
Cl 0.577 0.863 0.887
Cl 0.613 0.476 0.690
Cl 0.613 0.637 0.923
Cl 0.637 0.214 0.024
Cl 0.637 0.923 0.613
Cl 0.690 0.577 0.214
Cl 0.690 0.613 0.476
Cl 0.714 0.077 0.190
Cl 0.714 0.137 0.524
Cl 0.786 0.310 0.423
Cl 0.786 0.976 0.363
Cl 0.810 0.024 0.887
Cl 0.810 0.286 0.923
Cl 0.863 0.476 0.286
Cl 0.863 0.887 0.577
Cl 0.887 0.577 0.863
Cl 0.887 0.810 0.024
Cl 0.923 0.613 0.637
Cl 0.923 0.810 0.286
Cl 0.976 0.113 0.190
Cl 0.976 0.363 0.786

=====

! Pm8Ir2Au (GGA-PBE, optimized geometry); values from VASP
! Energy relative to the lowest polymorph listed for this composition = 0.0000 eV per atom
! Space group = C2/m
! Crystal system = monoclinic
! Energy relative to the elements = -435.5 meV/atom
! E = -63.79 eV/cell
! ρ = 9.2 g/cm³
&SYSTEM
  ibrav = 0, nat = 11, ntyp = 3
/
ATOMIC_SPECIES
Pm 145.00 Pm.upf
Ir 192.22 Ir.upf
Au 196.97 Au.upf
CELL_PARAMETERS angstrom
8.947 -2.529 0.000
8.947 2.529 0.000
-1.382 0.000 6.917
ATOMIC_POSITIONS crystal
Pm 0.040 0.040 0.268
Pm 0.202 0.202 0.834
Pm 0.329 0.329 0.536
Pm 0.410 0.410 0.050
Pm 0.590 0.590 0.950
Pm 0.671 0.671 0.464
Pm 0.798 0.798 0.166
Pm 0.960 0.960 0.732
Ir 0.202 0.202 0.235
Ir 0.798 0.798 0.765
Au 0.500 0.500 0.500